Compound: ThTlAgPb
Source: Alexandria
Functional: PBE
Structure: relaxed

Cell lengths 4.646, 4.902, 4.706 Å; angles 90.00, 90.00, 90.00 degrees
Fractional positions:
Ag1 0.500 0.000 0.500
Th1 0.500 0.500 0.000
Tl1 0.000 0.000 0.000
Pb1 0.000 0.500 0.500

Calculated values
Total energy (eV/atom): -4.2342
Mass density (Mg/m³): 11.644
ΔH_f (0 K) (kcal/mol of atoms): -3.4

---

Compound: CeNdInGa
Source: Alexandria
Functional: PBE
Structure: relaxed

Cell lengths 3.460, 3.460, 8.744 Å; angles 90.00, 90.00, 90.00 degrees
Fractional positions:
In1 0.000 0.000 0.854
Ga1 0.000 0.000 0.359
Ce1 0.500 0.500 0.589
Nd1 0.500 0.500 0.126

Calculated values
Total energy (eV/atom): -4.5787
Mass density (Mg/m³): 7.436
ΔH_f (0 K) (kcal/mol of atoms): -10.7

---

Compound: Li6SnPd12
Source: Alexandria
Functional: PBE
Structure: relaxed

Cell lengths 7.154, 7.154, 7.154 Å; angles 106.89, 106.89, 106.89 degrees
Fractional positions:
Pd1 0.726 0.161 0.867
Pd2 0.515 0.408 0.813
Pd3 0.867 0.726 0.161
Pd4 0.485 0.592 0.187
Pd5 0.813 0.515 0.408
Pd6 0.592 0.187 0.485
Pd7 0.161 0.867 0.726
Pd8 0.187 0.485 0.592
Pd9 0.133 0.274 0.839
Pd10 0.274 0.839 0.133
Pd11 0.839 0.133 0.274
Pd12 0.408 0.813 0.515
Li1 0.527 0.798 0.921
Li2 0.473 0.202 0.079
Li3 0.202 0.079 0.473
Li4 0.798 0.921 0.527
Li5 0.079 0.473 0.202
Li6 0.921 0.527 0.798
Sn1 0.000 0.000 0.000

Calculated values
Total energy (eV/atom): -4.3520
Mass density (Mg/m³): 7.802
ΔH_f (0 K) (kcal/mol of atoms): -5.9

---

Compound: Pu4Ge8Pd
Source: Alexandria
Functional: PBE
Structure: relaxed

Cell lengths 4.068, 4.236, 15.807 Å; angles 90.00, 90.00, 90.00 degrees
Fractional positions:
Ge1 0.000 0.500 0.226
Ge2 0.500 0.000 0.224
Ge3 0.500 0.000 0.573
Ge4 0.000 0.000 0.470
Ge5 0.500 0.500 0.759
Ge6 0.500 0.500 0.046
Ge7 0.000 0.000 0.751
Ge8 0.000 0.500 0.935
Pu1 0.000 0.000 0.090
Pu2 0.500 0.500 0.406
Pu3 0.500 0.000 0.899
Pu4 0.000 0.500 0.611
Pd1 0.000 0.000 0.314

Calculated values
Total energy (eV/atom): -8.0251
Mass density (Mg/m³): 10.141
ΔH_f (0 K) (kcal/mol of atoms): -8.6

---

Compound: ZnNi2Ir
Source: Alexandria
Functional: PBE
Structure: relaxed

Cell lengths 4.482, 4.482, 4.469 Å; angles 79.51, 79.51, 35.08 degrees
Fractional positions:
Ir1 0.750 0.750 0.750
Zn1 0.250 0.250 0.250
Ni1 0.003 0.003 0.993
Ni2 0.497 0.497 0.507

Calculated values
Total energy (eV/atom): -5.4654
Mass density (Mg/m³): 12.293
ΔH_f (0 K) (kcal/mol of atoms): -0.9

---

Compound: NdH4Pt2
Source: Alexandria
Functional: PBE
Structure: relaxed

Cell lengths 6.708, 7.739, 8.138 Å; angles 117.90, 42.94, 144.09 degrees
Fractional positions:
H1 0.202 0.204 0.583
H2 0.659 0.475 0.031
H3 0.495 0.383 0.777
H4 0.137 0.559 0.220
H5 0.486 0.953 0.649
H6 0.812 0.060 0.936
H7 0.213 0.494 0.516
H8 0.001 0.947 0.350
Nd1 0.370 0.616 0.793
Nd2 0.888 0.959 0.132
Pt1 0.402 0.347 0.327
Pt2 0.552 0.230 0.509
Pt3 0.003 0.649 0.711
Pt4 0.282 0.876 0.216

Calculated values
Total energy (eV/atom): -4.7493
Mass density (Mg/m³): 11.151

---

Compound: RbCoRu3
Source: Alexandria
Functional: PBE
Structure: relaxed

Cell lengths 4.603, 4.603, 4.603 Å; angles 90.00, 90.00, 90.00 degrees
Fractional positions:
Rb1 0.500 0.500 0.500
Co1 0.000 0.000 0.000
Ru1 0.000 0.500 0.000
Ru2 0.500 0.000 0.000
Ru3 0.000 0.000 0.500

Calculated values
Total energy (eV/atom): -5.5158
Mass density (Mg/m³): 7.623
ΔH_f (0 K) (kcal/mol of atoms): 38.4

---

Compound: KBaDyI6
Source: Alexandria
Functional: PBE
Structure: relaxed

Cell lengths 8.476, 8.476, 14.987 Å; angles 90.00, 90.00, 120.00 degrees
Fractional positions:
Ba1 0.333 0.667 0.250
Ba2 0.667 0.333 0.750
I1 0.660 0.622 0.131
I2 0.340 0.378 0.869
I3 0.038 0.660 0.869
I4 0.622 0.962 0.869
I5 0.660 0.038 0.369
I6 0.378 0.038 0.131
I7 0.340 0.962 0.631
I8 0.962 0.622 0.369
I9 0.378 0.340 0.369
I10 0.962 0.340 0.131
I11 0.038 0.378 0.631
I12 0.622 0.660 0.631
K1 0.000 0.000 0.500
K2 0.000 0.000 0.000
Dy1 0.667 0.333 0.250
Dy2 0.333 0.667 0.750

Calculated values
Raw formation energy (eV/f.u.): -13.8
Total energy (eV/atom): -3.4188
Mass density (Mg/m³): 3.919